Er2Tm2In3 | GGA-PBE | optimized geometry

```
Er2Tm2In3
1.0
3.4334 0.0000 0.0000
0.0000 31.8359 0.0000
0.0000 0.0000 3.4746
Er Tm In
4 4 6
Cartesian
0.0000 2.1610 0.0000
0.0000 29.6749 0.0000
1.7167 13.7569 0.0000
1.7167 18.0789 0.0000
0.0000 6.4318 0.0000
0.0000 25.4040 0.0000
1.7167 9.4861 0.0000
1.7167 22.3498 0.0000
0.0000 11.5896 1.7373
0.0000 15.9179 1.7373
0.0000 20.2463 1.7373
1.7167 0.0000 1.7373
1.7167 4.3283 1.7373
1.7167 27.5075 1.7373
```

Calculated values
N(E_F) (states/eV/cell): 13.180
Volume (A^3/atom): 27.13
E_form (meV/atom): -309